A geometry-optimized SiTc2Sb structure, computed with GGA-PBEsol.

Geometry as POSCAR:
```
SiTc2Sb
1.0
2.9166 0.0000 0.0000
0.0000 2.9166 0.0000
0.0000 0.0000 7.7937
Sb Si Tc
1 1 2
Cartesian
0.0000 0.0000 3.6584
1.4583 1.4583 6.3218
0.0000 0.0000 0.0487
1.4583 1.4583 1.6616
```

Summary:
SG	P4mm
total magnetic moment	0.0	Bohr magnetons per cell
E_form (uncorrected)	0.035	eV/atom
relative energy among the computed polymorphs	26	kJ/mol of formula units
V	16.57	Å³/atom
Fermi-level density of states	2.3	states/eV/cell

A geometry-optimized Si2SbTe2 structure, computed with GGA-PBEsol.

Geometry as POSCAR:
```
Si2SbTe2
1.0
-2.0793 -2.2601 4.2961
5.9591 0.1963 -0.2583
-2.4369 4.5280 1.2026
Sb Si Te
1 2 2
Cartesian
0.0000 0.0000 0.0000
0.6321 2.9291 1.8469
0.8109 -0.4649 3.3936
-0.9998 1.5862 3.5963
2.4428 0.8780 1.6442
```

Summary:
SG	I4/mmm
total magnetic moment	0.0	Bohr magnetons per cell
E_form (uncorrected)	0.471	eV/atom
V	25.97	Å³/atom
Fermi-level density of states	2.3	states/eV/cell

A geometry-optimized Ti2Si2Sb structure, computed with GGA-PBEsol.

Geometry as POSCAR:
```
Ti2Si2Sb
1.0
-2.2486 2.5776 -0.7826
-2.8999 -0.6212 6.2863
4.4793 4.6751 2.5283
Sb Si Ti
2 4 4
Cartesian
0.0000 0.0000 0.0000
0.7897 2.0269 4.4073
1.3178 4.1460 2.0028
0.9591 4.9744 5.7619
-1.9870 2.4855 6.0293
-1.6284 1.6571 2.2702
2.7761 3.7146 4.2584
0.5227 2.5654 6.9480
-1.1968 0.3393 4.5562
1.0567 1.4885 1.8666
```

Summary:
SG	P4/mbm
total magnetic moment	0.0	Bohr magnetons per cell
E_form (uncorrected)	-0.332	eV/atom
V	16.95	Å³/atom
Fermi-level density of states	9.3	states/eV/cell

| no. | E (eV per cell) |
| --- | --- |
| 1 | -32.7 |
| 2 | -20.7 |
| 3 | -68.7 |